Record 1
# Li2Ca2ZnCd5 PBE-GGA optimized geometry
data_Li2Ca2ZnCd5
_space_group_name_H-M_alt 'P 4/m b m'
_space_group_IT_number 127
_space_group_name_Hall '-P 4 2ab'
_cell_length_a 10.8680
_cell_length_b 10.8680
_cell_length_c 3.8118
_cell_angle_alpha 90.00
_cell_angle_beta 90.00
_cell_angle_gamma 90.00
loop_
_atom_site_label
_atom_site_type_symbol
_atom_site_fract_x
_atom_site_fract_y
_atom_site_fract_z
Li1 Li 0.1223 0.3777 0.0000
Ca1 Ca 0.1783 0.6783 0.0000
Zn1 Zn 0.0000 0.0000 0.0000
Cd1 Cd 0.0000 0.5000 0.5000
Cd2 Cd 0.0533 0.1957 0.5000
# ΔH_f (0 K): -211 meV/atom


Record 2
# In2As3 PBE-GGA optimized geometry
data_In2As3
_space_group_name_H-M_alt 'F d d 2'
_space_group_IT_number 43
_space_group_name_Hall 'F 2 -2d'
_cell_length_a 12.0979
_cell_length_b 14.0093
_cell_length_c 5.8340
_cell_angle_alpha 90.00
_cell_angle_beta 90.00
_cell_angle_gamma 90.00
loop_
_atom_site_label
_atom_site_type_symbol
_atom_site_fract_x
_atom_site_fract_y
_atom_site_fract_z
In1 In 0.0354 0.3394 0.0000
As1 As 0.0000 0.0000 0.9650
As2 As 0.1074 0.3228 0.4967
# ΔH_f (0 K): 105 meV/atom
# distance to the lowest polymorph of the same formula: 125 meV/atom


Record 3
# MgAgH3 PBE-GGA optimized geometry
data_MgAgH3
_space_group_name_H-M_alt 'P m -3 m'
_space_group_IT_number 221
_space_group_name_Hall '-P 4 2 3'
_cell_length_a 3.7714
_cell_length_b 3.7714
_cell_length_c 3.7714
_cell_angle_alpha 90.00
_cell_angle_beta 90.00
_cell_angle_gamma 90.00
loop_
_atom_site_label
_atom_site_type_symbol
_atom_site_fract_x
_atom_site_fract_y
_atom_site_fract_z
Mg1 Mg 0.0000 0.0000 0.0000
Ag1 Ag 0.5000 0.5000 0.5000
H1 H 0.0000 0.5000 0.5000
# distance to the lowest polymorph of the same formula: 50 meV/atom


Record 4
# BaNa2LiRe PBE-GGA optimized geometry
data_BaNa2LiRe
_space_group_name_H-M_alt 'P 4/m m m'
_space_group_IT_number 123
_space_group_name_Hall '-P 4 2'
_cell_length_a 5.1753
_cell_length_b 5.1753
_cell_length_c 5.2372
_cell_angle_alpha 90.00
_cell_angle_beta 90.00
_cell_angle_gamma 90.00
loop_
_atom_site_label
_atom_site_type_symbol
_atom_site_fract_x
_atom_site_fract_y
_atom_site_fract_z
Ba1 Ba 0.0000 0.0000 0.0000
Na1 Na 0.0000 0.5000 0.5000
Li1 Li 0.5000 0.5000 0.5000
Re1 Re 0.5000 0.5000 0.0000
# ΔH_f (0 K): 961 meV/atom


Record 5
# PrPuB2O8 PBE-GGA optimized geometry
data_PrPuB2O8
_space_group_name_H-M_alt 'P -3 m 1'
_space_group_IT_number 164
_space_group_name_Hall '-P 3 2"'
_cell_length_a 5.0394
_cell_length_b 5.0394
_cell_length_c 6.9410
_cell_angle_alpha 90.00
_cell_angle_beta 90.00
_cell_angle_gamma 120.00
loop_
_atom_site_label
_atom_site_type_symbol
_atom_site_fract_x
_atom_site_fract_y
_atom_site_fract_z
Pr1 Pr 0.0000 0.0000 0.0000
Pu1 Pu 0.0000 0.0000 0.5000
B1 B 0.3333 0.6667 0.2242
O1 O 0.1744 0.3488 0.3046
O2 O 0.3333 0.6667 0.0233
# formation energy from raw total energies: -2374 meV per atom


Record 6
# NaNd8Se12 PBE-GGA optimized geometry
data_NaNd8Se12
_space_group_name_H-M_alt 'I -4 2 d'
_space_group_IT_number 122
_space_group_name_Hall 'I -4 2bw'
_cell_length_a 8.9435
_cell_length_b 8.9435
_cell_length_c 26.9592
_cell_angle_alpha 90.00
_cell_angle_beta 90.00
_cell_angle_gamma 90.00
loop_
_atom_site_label
_atom_site_type_symbol
_atom_site_fract_x
_atom_site_fract_y
_atom_site_fract_z
Na1 Na 0.0000 0.0000 0.0000
Nd1 Nd 0.0000 0.0000 0.3328
Nd2 Nd 0.1181 0.7500 0.1250
Nd3 Nd 0.1274 0.7460 0.4597
Se1 Se 0.0733 0.6752 0.6832
Se2 Se 0.0734 0.6799 0.3531
Se3 Se 0.0777 0.6749 0.0160
# formation energy from raw total energies: -1844 meV per atom


Record 7
# NaCa2YCu PBE-GGA optimized geometry
data_NaCa2YCu
_space_group_name_H-M_alt 'P 4/m m m'
_space_group_IT_number 123
_space_group_name_Hall '-P 4 2'
_cell_length_a 5.7135
_cell_length_b 5.7135
_cell_length_c 5.3983
_cell_angle_alpha 90.00
_cell_angle_beta 90.00
_cell_angle_gamma 90.00
loop_
_atom_site_label
_atom_site_type_symbol
_atom_site_fract_x
_atom_site_fract_y
_atom_site_fract_z
Na1 Na 0.0000 0.0000 0.0000
Ca1 Ca 0.0000 0.5000 0.5000
Y1 Y 0.5000 0.5000 0.0000
Cu1 Cu 0.5000 0.5000 0.5000
# ΔH_f (0 K): 89 meV/atom


Record 8
# Be2V2Ni PBE-GGA optimized geometry
data_Be2V2Ni
_space_group_name_H-M_alt 'P 4/m b m'
_space_group_IT_number 127
_space_group_name_Hall '-P 4 2ab'
_cell_length_a 5.6417
_cell_length_b 5.6417
_cell_length_c 3.3676
_cell_angle_alpha 90.00
_cell_angle_beta 90.00
_cell_angle_gamma 90.00
loop_
_atom_site_label
_atom_site_type_symbol
_atom_site_fract_x
_atom_site_fract_y
_atom_site_fract_z
Be1 Be 0.1313 0.3687 0.0000
V1 V 0.1684 0.6684 0.5000
Ni1 Ni 0.0000 0.0000 0.0000
# ΔH_f (0 K): -143 meV/atom
# distance to the lowest polymorph of the same formula: 0 meV/atom